No. 1
This record from the Open Quantum Materials Database describes crystalline ZrScAl2 at its relaxed geometry. The functional is GGA-PBE.

Geometry as CIF:
```
data_ZrScAl2
_cell_length_a 5.0170
_cell_length_b 6.1367
_cell_length_c 6.1367
_cell_angle_alpha 56.82
_cell_angle_beta 90.00
_cell_angle_gamma 90.00
_space_group_name_H-M_alt 'P 1'
_space_group_IT_number 1
loop_
_space_group_symop_operation_xyz
'x,y,z'
loop_
_atom_site_label
_atom_site_fract_x
_atom_site_fract_y
_atom_site_fract_z
Al1 0.5000 0.1630 0.1630
Al2 0.5000 0.6671 0.1835
Al3 0.5000 0.1835 0.6671
Al4 0.0000 0.8309 0.8309
Sc1 0.0000 0.3220 0.3220
Sc2 0.5000 0.6803 0.6803
Zr1 0.0000 0.8268 0.3263
Zr2 0.0000 0.3263 0.8268
```

E above lowest polymorph (meV/atom): 121
Total magnetic moment (μB per formula unit): 0.02
E (eV/atom): -5.86

=====

No. 2
This record from the Open Quantum Materials Database describes crystalline ScInCoAg at its relaxed geometry. The functional is GGA-PBE.

Geometry as CIF:
```
data_ScInCoAg
_cell_length_a 4.6309
_cell_length_b 4.6309
_cell_length_c 4.6309
_cell_angle_alpha 60.00
_cell_angle_beta 60.00
_cell_angle_gamma 60.00
_space_group_name_H-M_alt 'P 1'
_space_group_IT_number 1
loop_
_space_group_symop_operation_xyz
'x,y,z'
loop_
_atom_site_label
_atom_site_fract_x
_atom_site_fract_y
_atom_site_fract_z
Ag1 0.5000 0.5000 0.5000
Co1 0.7500 0.7500 0.7500
In1 0.0000 0.0000 0.0000
Sc1 0.2500 0.2500 0.2500
```

E above lowest polymorph (meV/atom): 167
Total magnetic moment (μB per formula unit): 0.01
E (eV/atom): -4.75

=====

Q: Which of these has the lowest E above lowest polymorph?
A: ZrScAl2

=====

Q: E of number 2 (ScInCoAg)?
A: -4.75 eV/atom